# 1
Computed, not measured: a geometry-optimized Sr2BeZnAu6 structure at the GGA-PBE level of DFT.

Properties
Total energy   -3.307 eV per atom
Energy of formation   -49 kJ per mole of atoms
Size of the total moment   0.000 μB/atom

```
10
Lattice="-2.923 -2.079 -5.471 2.567 -6.526 1.129 -3.929 -5.857 0.420" Properties=species:S:1:pos:R:3 pbc="T T T"
Sr -3.596 -6.608 -3.386
Sr -0.689 -7.854 -0.536
Be -0.178 -4.303 -2.171
Zn 0.000 0.000 0.000
Au -2.167 -4.594 -1.005
Au -4.146 -11.972 -3.200
Au -2.534 -10.840 -0.180
Au -1.751 -3.623 -3.742
Au -0.138 -2.490 -0.722
Au -2.118 -9.868 -2.917
```

---

# 2
Computed, not measured: a geometry-optimized TaBe17Au structure at the GGA-PBE level of DFT.

Properties
Total energy   -4.228 eV per atom
Energy of formation   -9 kJ per mole of atoms
Size of the total moment   0.000 μB/atom

```
19
Lattice="-1.803 -0.591 -5.255 -3.431 -4.314 0.907 -4.718 2.944 0.532" Properties=species:S:1:pos:R:3 pbc="T T T"
Ta -3.375 -0.665 -1.294
Be -7.293 -2.411 -0.301
Be -7.013 1.223 -2.899
Be -5.638 -2.744 -4.446
Be -7.670 -0.280 -0.412
Be -6.157 0.186 -4.598
Be -6.116 -3.838 -2.637
Be -5.117 -2.814 -0.859
Be -5.755 0.787 -1.045
Be -4.309 -0.966 -3.916
Be -4.796 0.872 -2.949
Be -4.153 -2.754 -2.762
Be -5.609 -0.988 0.129
Be -1.801 -2.087 0.367
Be -2.414 1.368 0.189
Be -1.026 -0.315 -2.565
Be -8.972 -1.769 -3.440
Be -1.008 -0.199 -0.387
Au -6.323 -1.247 -2.425
```

---

# 3
Computed, not measured: a geometry-optimized TaBeAu2 structure at the GGA-PBE level of DFT.

Properties
Total energy   -5.448 eV per atom
Energy of formation   8 kJ per mole of atoms
Size of the total moment   0.000 μB/atom

```
4
Lattice="5.230 -0.007 -0.004 2.362 4.666 0.004 -3.268 -3.189 2.549" Properties=species:S:1:pos:R:3 pbc="T T T"
Be 2.879 -0.434 1.272
Au 7.264 4.457 0.000
Au 4.124 2.531 0.000
Ta 1.445 1.903 1.276
```

---

# 4
Computed, not measured: a geometry-optimized Ta2Be2Au structure at the GGA-PBE level of DFT.

Properties
Total energy   -7.134 eV per atom
Energy of formation   -24 kJ per mole of atoms
E above lowest polymorph   0.0 kJ/mol of atoms
Size of the total moment   0.000 μB/atom

```
10
Lattice="-5.052 2.888 1.740 -0.284 -3.489 4.964 2.068 2.491 1.869" Properties=species:S:1:pos:R:3 pbc="T T T"
Be -2.142 -1.970 4.994
Be -4.597 0.345 4.627
Be -3.195 1.369 1.710
Be -0.740 -0.945 2.078
Au 0.000 0.000 0.000
Au -2.668 -0.300 3.352
Ta 0.013 -0.598 4.521
Ta -2.562 0.251 6.238
Ta -3.282 2.488 4.053
Ta -0.707 1.639 2.336
```

---

# 5
Computed, not measured: a geometry-optimized TaBeAu structure at the GGA-PBE level of DFT.

Properties
Total energy   -6.397 eV per atom
Energy of formation   -11 kJ per mole of atoms
E above lowest polymorph   12.8 kJ/mol of atoms
Size of the total moment   0.000 μB/atom

```
3
Lattice="-4.039 -2.420 -3.199 -1.935 -1.790 -5.045 0.731 -2.773 -0.113" Properties=species:S:1:pos:R:3 pbc="T T T"
Be -1.544 -3.260 -2.871
Au -5.820 -4.177 -8.058
Ta -3.852 -3.755 -5.671
```

---

# 6
Computed, not measured: a geometry-optimized TaBeAu structure at the GGA-PBE level of DFT.

Properties
Total energy   -6.529 eV per atom
Energy of formation   -23 kJ per mole of atoms
E above lowest polymorph   0.0 kJ/mol of atoms
Size of the total moment   0.000 μB/atom

```
6
Lattice="-0.825 2.867 -1.678 -2.843 -1.532 -1.219 -5.182 1.568 5.229" Properties=species:S:1:pos:R:3 pbc="T T T"
Be -2.321 1.558 -1.433
Be -6.530 1.346 3.765
Au -3.531 2.310 0.447
Au -5.319 0.594 1.885
Ta -5.147 3.312 2.954
Ta -3.704 -0.409 -0.622
```